[1]
CaZrSi3: relaxed, PBE.

Computed properties:
The calculation puts the distance to the lowest polymorph of the same formula at 1.111 eV/atom. The uncorrected formation energy comes out at 1.3125 eV per atom. Its space group is Pm-3m. Its volume is 120 Å³/cell.

a = 4.928 Å, b = 4.928 Å, c = 4.928 Å
α = 90.00°, β = 90.00°, γ = 90.00°
Sites, in units of the cell vectors:
Si 0.000 0.500 0.000
Si 0.000 0.000 0.500
Si 0.500 0.000 0.000
Zr 0.500 0.500 0.500
Ca 0.000 0.000 0.000

[2]
CaZrSi2: relaxed, PBE.

Computed properties:
The calculation puts the distance to the lowest polymorph of the same formula at 0.887 eV/atom. The uncorrected formation energy comes out at 0.3192 eV per atom. Its space group is F-43m. Its volume is 78 Å³/cell.

a = 4.804 Å, b = 4.804 Å, c = 4.804 Å
α = 60.00°, β = 60.00°, γ = 60.00°
Sites, in units of the cell vectors:
Zr 0.250 0.250 0.250
Si 0.750 0.750 0.750
Si 0.000 0.000 0.000
Ca 0.500 0.500 0.500

| no. | total magnetic moment (Bohr magnetons per cell) |
| --- | --- |
| 1 | 0.00 |
| 2 | 0.00 |